The following is a DFT calculation (GGA-PBE) of a relaxed CaMn3 crystal.

Calculated values
Its magnetic moment is 0.87 μB/atom. Its symmetry is Pnma. The calculation puts the density of states at the Fermi level at 5.21 states/eV/f.u.

Cell: 7.625 6.690 5.638 Å, 90.00 90.00 90.00°
Atoms (fractional coordinates):
Ca1 0.032 0.250 0.124
Ca2 0.468 0.750 0.624
Ca3 0.532 0.250 0.376
Ca4 0.968 0.750 0.876
Mn1 0.119 0.750 0.359
Mn2 0.168 0.056 0.593
Mn3 0.168 0.444 0.593
Mn4 0.332 0.556 0.093
Mn5 0.332 0.944 0.093
Mn6 0.381 0.250 0.859
Mn7 0.619 0.750 0.141
Mn8 0.668 0.056 0.907
Mn9 0.668 0.444 0.907
Mn10 0.832 0.556 0.407
Mn11 0.832 0.944 0.407
Mn12 0.881 0.250 0.641

The following is a DFT calculation (GGA-PBE) of a relaxed CaMn3 crystal.

Calculated values
Its magnetic moment is 2.72 μB/atom. Its symmetry is I4/mmm. The calculation puts the density of states at the Fermi level at 4.57 states/eV/f.u.

Cell: 5.130 5.130 5.130 Å, 131.89 131.89 70.41°
Atoms (fractional coordinates):
Ca1 0.000 0.000 0.000
Mn1 0.250 0.750 0.500
Mn2 0.500 0.500 0.000
Mn3 0.750 0.250 0.500

The following is a DFT calculation (GGA-PBE) of a relaxed Ca3Mn crystal.

Calculated values
Its magnetic moment is 1.06 μB/atom. Its symmetry is P4/mmm. The calculation puts the density of states at the Fermi level at 5.42 states/eV/f.u.

Cell: 5.100 5.100 5.114 Å, 90.00 90.00 90.00°
Atoms (fractional coordinates):
Ca1 0.000 0.000 0.000
Ca2 0.000 0.500 0.500
Ca3 0.500 0.000 0.500
Mn1 0.500 0.500 0.000

The following is a DFT calculation (GGA-PBE) of a relaxed Ca3Mn crystal.

Calculated values
Its magnetic moment is 1.02 μB/atom. Its symmetry is Pmmn. The calculation puts the density of states at the Fermi level at 5.47 states/eV/f.u.

Cell: 5.868 7.140 6.246 Å, 90.00 90.00 90.00°
Atoms (fractional coordinates):
Ca1 0.250 0.002 0.167
Ca2 0.250 0.498 0.167
Ca3 0.250 0.750 0.636
Ca4 0.750 0.250 0.364
Ca5 0.750 0.502 0.833
Ca6 0.750 0.998 0.833
Mn1 0.250 0.250 0.681
Mn2 0.750 0.750 0.319

The following is a DFT calculation (GGA-PBE) of a relaxed CaMn crystal.

Calculated values
Its magnetic moment is 0.00 μB/atom. Its symmetry is P6_3/mmc. The calculation puts the density of states at the Fermi level at 3.00 states/eV/f.u.

Cell: 3.960 3.960 15.810 Å, 90.00 90.00 120.00°
Atoms (fractional coordinates):
Ca1 0.333 0.667 0.111
Ca2 0.333 0.667 0.389
Ca3 0.667 0.333 0.611
Ca4 0.667 0.333 0.889
Mn1 0.000 0.000 0.250
Mn2 0.000 0.000 0.750
Mn3 0.333 0.667 0.750
Mn4 0.667 0.333 0.250

The following is a DFT calculation (GGA-PBE) of a relaxed CaMn2 crystal.

Calculated values
Its magnetic moment is 0.42 μB/atom. Its symmetry is I4/mmm. The calculation puts the density of states at the Fermi level at 3.47 states/eV/f.u.

Cell: 5.888 5.888 5.888 Å, 150.06 150.06 42.85°
Atoms (fractional coordinates):
Ca1 0.000 0.000 0.000
Mn1 0.285 0.285 0.000
Mn2 0.715 0.715 0.000

The following is a DFT calculation (GGA-PBE) of a relaxed CaMn2 crystal.

Calculated values
Its magnetic moment is 2.67 μB/atom. Its symmetry is Pa-3. The calculation puts the density of states at the Fermi level at 3.10 states/eV/f.u.

Cell: 6.781 6.781 6.781 Å, 90.00 90.00 90.00°
Atoms (fractional coordinates):
Ca1 0.000 0.000 0.000
Ca2 0.000 0.500 0.500
Ca3 0.500 0.000 0.500
Ca4 0.500 0.500 0.000
Mn1 0.110 0.610 0.890
Mn2 0.110 0.890 0.390
Mn3 0.390 0.110 0.890
Mn4 0.390 0.390 0.390
Mn5 0.610 0.610 0.610
Mn6 0.610 0.890 0.110
Mn7 0.890 0.110 0.610
Mn8 0.890 0.390 0.110

The following is a DFT calculation (GGA-PBE) of a relaxed CaMn crystal.

Calculated values
Its magnetic moment is 1.90 μB/atom. Its symmetry is P6_3/mmc. The calculation puts the density of states at the Fermi level at 3.46 states/eV/f.u.

Cell: 3.481 3.481 9.991 Å, 90.00 90.00 120.00°
Atoms (fractional coordinates):
Ca1 0.000 0.000 0.000
Ca2 0.000 0.000 0.500
Mn1 0.333 0.667 0.250
Mn2 0.667 0.333 0.750

The following is a DFT calculation (GGA-PBE) of a relaxed Ca3Mn crystal.

Calculated values
Its magnetic moment is 1.11 μB/atom. Its symmetry is Fm-3m. The calculation puts the density of states at the Fermi level at 5.48 states/eV/f.u.

Cell: 5.656 5.656 5.656 Å, 60.00 60.00 60.00°
Atoms (fractional coordinates):
Ca1 0.000 0.000 0.000
Ca2 0.250 0.250 0.250
Ca3 0.750 0.750 0.750
Mn1 0.500 0.500 0.500

The following is a DFT calculation (GGA-PBE) of a relaxed CaMn crystal.

Calculated values
Its magnetic moment is 2.12 μB/atom. Its symmetry is Fm-3m. The calculation puts the density of states at the Fermi level at 2.55 states/eV/f.u.

Cell: 4.366 4.366 4.366 Å, 60.00 60.00 60.00°
Atoms (fractional coordinates):
Ca1 0.000 0.000 0.000
Mn1 0.500 0.500 0.500

The following is a DFT calculation (GGA-PBE) of a relaxed CaMn crystal.

Calculated values
Its magnetic moment is 0.33 μB/atom. Its symmetry is R-3m. The calculation puts the density of states at the Fermi level at 2.18 states/eV/f.u.

Cell: 8.423 8.423 8.423 Å, 25.76 25.76 25.76°
Atoms (fractional coordinates):
Ca1 0.091 0.091 0.091
Ca2 0.909 0.909 0.909
Mn1 0.333 0.333 0.333
Mn2 0.667 0.667 0.667

The following is a DFT calculation (GGA-PBE) of a relaxed Ca3Mn crystal.

Calculated values
Its magnetic moment is 0.96 μB/atom. Its symmetry is P-6m2. The calculation puts the density of states at the Fermi level at 3.80 states/eV/f.u.

Cell: 3.795 3.795 10.962 Å, 90.00 90.00 120.00°
Atoms (fractional coordinates):
Ca1 0.000 0.000 0.000
Ca2 0.333 0.667 0.295
Ca3 0.333 0.667 0.705
Mn1 0.000 0.000 0.500

no.,calculated total energy (eV per cell)
1,-111.87
2,-26.80
3,-13.74
4,-27.53
5,-42.48
6,-18.84
7,-63.90
8,-19.39
9,-13.71
10,-9.38
11,-21.12
12,-13.69